[1]
{"formula": "MgZnCd2", "functional": "meta-GGA SCAN", "state": "PBEsol geometry", "de_polymorph_ev_per_atom": 0.001, "delta_e_f_kj_per_mol_atoms": -4.0, "lattice_angstrom": [[4.1145, 0.0000, 0.0000], [0.0000, 4.3033, 0.0000], [0.0000, 0.0000, 4.3033]], "species": ["Zn", "Mg", "Cd", "Cd"], "frac_coords": [[0.5000, 0.0000, 0.0000], [0.5000, 0.5000, 0.5000], [0.0000, 0.0000, 0.5000], [0.0000, 0.5000, 0.0000]]}



[2]
{"formula": "Bi2S6O21", "functional": "meta-GGA SCAN", "state": "PBEsol geometry", "formation_energy_uncorrected_kj_per_mol_fu": -4002, "lattice_angstrom": [[6.6137, 0.0218, 0.0344], [-0.8345, 10.1690, 0.0351], [-1.3162, -0.2847, 11.5581]], "species": ["Bi", "Bi", "Bi", "Bi", "S", "S", "S", "S", "S", "S", "S", "S", "S", "S", "S", "S", "O", "O", "O", "O", "O", "O", "O", "O", "O", "O", "O", "O", "O", "O", "O", "O", "O", "O", "O", "O", "O", "O", "O", "O", "O", "O", "O", "O", "O", "O", "O", "O", "O", "O", "O", "O", "O", "O", "O", "O", "O", "O"], "frac_coords": [[0.8295, 0.4115, 0.7199], [0.1705, 0.5885, 0.2801], [0.4170, 0.9066, 0.7373], [0.5830, 0.0934, 0.2627], [0.3561, 0.5538, 0.7621], [0.6439, 0.4462, 0.2379], [0.4193, 0.1874, 0.5486], [0.5807, 0.8126, 0.4514], [0.7002, 0.6674, 0.9057], [0.2998, 0.3326, 0.0943], [0.9266, 0.0692, 0.7732], [0.0734, 0.9308, 0.2268], [0.6712, 0.1667, 0.9305], [0.3288, 0.8333, 0.0695], [0.0406, 0.2982, 0.4599], [0.9594, 0.7018, 0.5401], [0.6746, 0.7754, 0.8243], [0.3254, 0.2246, 0.1757], [0.2835, 0.6797, 0.7257], [0.7165, 0.3203, 0.2743], [0.3402, 0.0566, 0.5802], [0.6598, 0.9434, 0.4198], [0.8711, 0.0871, 0.9061], [0.1289, 0.9129, 0.0939], [0.4729, 0.5767, 0.8898], [0.5271, 0.4233, 0.1102], [0.7425, 0.0072, 0.7072], [0.2575, 0.9928, 0.2928], [0.8439, 0.5767, 0.8703], [0.1561, 0.4233, 0.1297], [0.9839, 0.2004, 0.7337], [0.0161, 0.7996, 0.2663], [0.2380, 0.2828, 0.5583], [0.7620, 0.7172, 0.4417], [0.7061, 0.2975, 0.8832], [0.2939, 0.7025, 0.1168], [0.4694, 0.1960, 0.4302], [0.5306, 0.8040, 0.5698], [0.1899, 0.4564, 0.7784], [0.8101, 0.5436, 0.2216], [0.5746, 0.2468, 0.6349], [0.4254, 0.7532, 0.3651], [0.5041, 0.5068, 0.6902], [0.4959, 0.4932, 0.3098], [0.0929, 0.9860, 0.7898], [0.9071, 0.0140, 0.2102], [0.6827, 0.1664, 0.0544], [0.3173, 0.8336, 0.9456], [0.7241, 0.7023, 0.0253], [0.2759, 0.2977, 0.9747], [0.9164, 0.3733, 0.5289], [0.0836, 0.6267, 0.4711], [0.9567, 0.1682, 0.4240], [0.0433, 0.8318, 0.5760], [0.1270, 0.3765, 0.3705], [0.8730, 0.6235, 0.6295], [0.4959, 0.0885, 0.8703], [0.5041, 0.9115, 0.1297]]}



[3]
{"formula": "AgPt2Au", "functional": "meta-GGA SCAN", "state": "PBEsol geometry", "de_polymorph_ev_per_atom": 0.051, "delta_e_f_kj_per_mol_atoms": 4.9, "lattice_angstrom": [[2.7782, 0.0000, 0.0204], [0.0000, 3.9841, 0.0000], [-0.0405, 0.0000, 5.6978]], "species": ["Au", "Pt", "Pt", "Ag"], "frac_coords": [[0.5003, 0.5000, 0.7498], [0.9997, 0.0000, 0.0101], [0.4996, 0.5000, 0.2409], [0.0004, 0.0000, 0.4992]]}